1:
{
  "formula": "CsBi2Ir",
  "functional": "PBEsol",
  "state": "optimized geometry",
  "cell": [[7.0751, -0.4236, 0.0000], [-2.7552, 6.5304, 0.0000], [2.1600, 3.0534, 6.0206]],
  "species": ["Bi", "Bi", "Bi", "Bi", "Ir", "Ir", "Cs", "Cs"],
  "frac_coords": [[0.8750, 0.9748, 0.4002], [0.0252, 0.6250, 0.0998], [0.7248, 0.1250, 0.9002], [0.3750, 0.2752, 0.5998], [0.7500, 0.2500, 0.5000], [0.0000, 0.0000, 0.0000], [0.5000, 0.5000, 0.0000], [0.2500, 0.7500, 0.5000]],
  "vol_a3_per_atom": 33.9,
  "sg": "I-42d (122)"
}



2:
{
  "formula": "CsBi2Ir",
  "functional": "PBEsol",
  "state": "optimized geometry",
  "cell": [[-5.0726, -1.0925, -0.9086], [-1.6271, -5.0076, -0.1663], [-3.0150, -1.9197, 3.8698]],
  "species": ["Bi", "Bi", "Cs", "Ir"],
  "frac_coords": [[0.7500, 0.7500, 0.7500], [0.2500, 0.2500, 0.2500], [0.0000, 0.0000, 0.0000], [0.5000, 0.5000, 0.5000]],
  "vol_a3_per_atom": 25.8,
  "sg": "Fm-3m (225)"
}



Relative energies, in eV/atom, with the most stable structure set to zero: 1 0.000; 2 0.395.



1:
{
  "formula": "Cs2KBi2",
  "functional": "PBEsol",
  "state": "optimized geometry",
  "cell": [[-4.7694, 0.6456, 3.7621], [-0.3704, -6.0706, 0.5723], [6.9684, 2.9657, 3.3655]],
  "species": ["Bi", "Bi", "Cs", "Cs", "K"],
  "frac_coords": [[0.7500, 0.2500, 0.5000], [0.2500, 0.7500, 0.5000], [0.3769, 0.3769, 0.7538], [0.6231, 0.6231, 0.2462], [0.0000, 0.0000, 0.0000]],
  "vol_a3_per_atom": 52.8,
  "sg": "I4/mmm (139)"
}



2:
{
  "formula": "Cs2KBi2",
  "functional": "PBEsol",
  "state": "optimized geometry",
  "cell": [[5.9572, 0.0000, 0.0000], [0.0000, 9.1197, 0.0000], [0.0000, 0.0000, 9.1197]],
  "species": ["Cs", "Cs", "Cs", "Cs", "Bi", "Bi", "Bi", "Bi", "K", "K"],
  "frac_coords": [[0.5000, 0.3328, 0.1672], [0.5000, 0.1672, 0.6672], [0.5000, 0.8328, 0.3328], [0.5000, 0.6672, 0.8328], [0.0000, 0.8848, 0.6152], [0.0000, 0.6152, 0.1152], [0.0000, 0.1152, 0.3848], [0.0000, 0.3848, 0.8848], [0.0000, 0.5000, 0.5000], [0.0000, 0.0000, 0.0000]],
  "vol_a3_per_atom": 49.5,
  "sg": "P4/mbm (127)"
}



Relative energies, in eV/atom, with the most stable structure set to zero: 1 0.381; 2 0.000.



1:
{
  "formula": "CsK2Bi2",
  "functional": "PBEsol",
  "state": "optimized geometry",
  "cell": [[-4.2763, 2.6469, -2.6352], [2.0835, -1.6342, -5.0225], [-2.8855, -6.6076, 4.1623]],
  "species": ["Cs", "K", "K", "Bi", "Bi"],
  "frac_coords": [[0.0000, 0.0000, 0.0000], [0.7500, 0.2500, 0.5000], [0.2500, 0.7500, 0.5000], [0.5995, 0.5995, 0.1989], [0.4005, 0.4005, 0.8011]],
  "vol_a3_per_atom": 47.0,
  "sg": "I4/mmm (139)"
}



2:
{
  "formula": "CsK2Bi2",
  "functional": "PBEsol",
  "state": "optimized geometry",
  "cell": [[4.9318, 0.0000, 0.0000], [0.0000, 9.5571, 0.0000], [0.0000, 0.0000, 9.5571]],
  "species": ["Bi", "Bi", "Bi", "Bi", "Cs", "Cs", "K", "K", "K", "K"],
  "frac_coords": [[0.0000, 0.8899, 0.6101], [0.0000, 0.3899, 0.8899], [0.0000, 0.1101, 0.3899], [0.0000, 0.6101, 0.1101], [0.0000, 0.5000, 0.5000], [0.0000, 0.0000, 0.0000], [0.5000, 0.8326, 0.3326], [0.5000, 0.1674, 0.6674], [0.5000, 0.3326, 0.1674], [0.5000, 0.6674, 0.8326]],
  "vol_a3_per_atom": 45.0,
  "sg": "P4/mbm (127)"
}



Relative energies, in eV/atom, with the most stable structure set to zero: 1 0.019; 2 0.000.



1:
{
  "formula": "CsBiTeN2",
  "functional": "PBEsol",
  "state": "optimized geometry",
  "cell": [[4.5289, 0.0000, 0.0000], [0.0000, 4.5289, 0.0000], [0.0000, 0.0000, 7.0201]],
  "species": ["Te", "N", "N", "Bi", "Cs"],
  "frac_coords": [[0.0000, 0.0000, 0.5000], [0.0000, 0.5000, 0.0000], [0.5000, 0.0000, 0.0000], [0.5000, 0.5000, 0.5000], [0.0000, 0.0000, 0.0000]],
  "vol_a3_per_atom": 28.8,
  "sg": "P4/mmm (123)"
}



2:
{
  "formula": "CsBiTeN2",
  "functional": "PBEsol",
  "state": "optimized geometry",
  "cell": [[-2.1060, 1.2785, 4.2447], [-4.0525, -2.4602, -1.2696], [2.1866, -4.9277, 2.5691]],
  "species": ["Te", "N", "N", "Bi", "Cs"],
  "frac_coords": [[0.0000, 0.0000, 0.5000], [0.5000, 0.0000, 0.0000], [0.0000, 0.5000, 0.0000], [0.0000, 0.0000, 0.0000], [0.5000, 0.5000, 0.5000]],
  "vol_a3_per_atom": 28.8,
  "sg": "P4/mmm (123)"
}



Relative energies, in eV/atom, with the most stable structure set to zero: 1 0.890; 2 0.000.



1:
{
  "formula": "CsNa2Bi2",
  "functional": "PBEsol",
  "state": "optimized geometry",
  "cell": [[5.4725, 0.0000, 0.0000], [0.0000, 5.4725, 0.0000], [-2.7363, -2.7363, 6.3870]],
  "species": ["Cs", "Bi", "Bi", "Na", "Na"],
  "frac_coords": [[0.0000, 0.0000, 0.0000], [0.6145, 0.6145, 0.2290], [0.3855, 0.3855, 0.7710], [0.7500, 0.2500, 0.5000], [0.2500, 0.7500, 0.5000]],
  "vol_a3_per_atom": 38.3,
  "sg": "I4/mmm (139)"
}



2:
{
  "formula": "CsNa2Bi2",
  "functional": "PBEsol",
  "state": "optimized geometry",
  "cell": [[3.4197, 0.0000, 0.0000], [0.0000, 9.8225, 0.0000], [0.0000, 0.0000, 9.8225]],
  "species": ["Na", "Na", "Na", "Na", "Cs", "Cs", "Bi", "Bi", "Bi", "Bi"],
  "frac_coords": [[0.0000, 0.8718, 0.6282], [0.0000, 0.1282, 0.3718], [0.0000, 0.6282, 0.1282], [0.0000, 0.3718, 0.8718], [0.0000, 0.0000, 0.0000], [0.0000, 0.5000, 0.5000], [0.5000, 0.1624, 0.6624], [0.5000, 0.6624, 0.8376], [0.5000, 0.8376, 0.3376], [0.5000, 0.3376, 0.1624]],
  "vol_a3_per_atom": 33.0,
  "sg": "P4/mbm (127)"
}



Relative energies, in eV/atom, with the most stable structure set to zero: 1 0.030; 2 0.000.



1:
{
  "formula": "CsBi3Pb",
  "functional": "PBEsol",
  "state": "optimized geometry",
  "cell": [[5.9838, 0.0000, 0.0000], [0.0000, 5.9838, 0.0000], [0.0000, 0.0000, 5.9838]],
  "species": ["Pb", "Bi", "Bi", "Bi", "Cs"],
  "frac_coords": [[0.0000, 0.0000, 0.0000], [0.0000, 0.5000, 0.0000], [0.5000, 0.0000, 0.0000], [0.0000, 0.0000, 0.5000], [0.5000, 0.5000, 0.5000]],
  "vol_a3_per_atom": 42.9,
  "sg": "Pm-3m (221)"
}



2:
{
  "formula": "CsBi3Pb",
  "functional": "PBEsol",
  "state": "optimized geometry",
  "cell": [[-1.0898, -0.4953, 5.9731], [5.5409, -2.3980, 0.8121], [2.2852, 5.5781, 0.8794]],
  "species": ["Pb", "Bi", "Bi", "Bi", "Cs"],
  "frac_coords": [[0.5000, 0.5000, 0.5000], [0.0000, 0.0000, 0.5000], [0.0000, 0.5000, 0.0000], [0.5000, 0.0000, 0.0000], [0.0000, 0.0000, 0.0000]],
  "vol_a3_per_atom": 45.2,
  "sg": "Pm-3m (221)"
}



Relative energies, in eV/atom, with the most stable structure set to zero: 1 0.000; 2 0.926.



1:
{
  "formula": "CuBi3PbS6",
  "functional": "PBEsol",
  "state": "optimized geometry",
  "cell": [[-0.5196, -0.5892, 3.9059], [-7.9698, -7.3671, -2.1715], [7.6957, -8.2598, -0.2222]],
  "species": ["S", "S", "S", "S", "S", "S", "S", "S", "S", "S", "S", "S", "Bi", "Bi", "Bi", "Bi", "Bi", "Bi", "Pb", "Pb", "Cu", "Cu"],
  "frac_coords": [[0.0000, 0.1426, 0.7053], [0.5000, 0.6426, 0.2947], [0.5000, 0.5591, 0.6380], [0.0000, 0.0591, 0.3620], [0.0000, 0.7961, 0.5314], [0.5000, 0.8727, 0.8004], [0.0000, 0.6879, 0.0327], [0.5000, 0.9488, 0.1221], [0.5000, 0.1879, 0.9673], [0.0000, 0.4488, 0.8779], [0.5000, 0.2961, 0.4686], [0.0000, 0.3727, 0.1996], [0.0000, 0.8185, 0.2312], [0.5000, 0.5192, 0.0809], [0.0000, 0.0192, 0.9191], [0.5000, 0.3185, 0.7688], [0.5000, 0.1799, 0.2470], [0.0000, 0.6799, 0.7530], [0.0000, 0.4818, 0.4206], [0.5000, 0.9818, 0.5794], [0.0000, 0.2047, 0.5087], [0.5000, 0.7047, 0.4913]],
  "vol_a3_per_atom": 22.6,
  "sg": "Pmn2_1 (31)"
}



2:
{
  "formula": "CuBi3PbS6",
  "functional": "PBEsol",
  "state": "optimized geometry",
  "cell": [[3.9910, 0.0000, 0.0000], [0.0000, 11.0252, 0.0000], [0.0000, 0.0000, 11.2824]],
  "species": ["Bi", "Bi", "Bi", "Bi", "Bi", "Bi", "S", "S", "S", "S", "S", "S", "S", "S", "S", "S", "S", "S", "Pb", "Pb", "Cu", "Cu"],
  "frac_coords": [[0.0000, 0.2506, 0.3369], [0.0000, 0.7494, 0.8369], [0.0000, 0.4249, 0.0158], [0.0000, 0.5751, 0.5158], [0.5000, 0.0644, 0.9902], [0.5000, 0.9356, 0.4902], [0.0000, 0.8833, 0.0403], [0.5000, 0.9428, 0.7765], [0.5000, 0.7027, 0.6160], [0.0000, 0.5383, 0.2209], [0.5000, 0.2973, 0.1160], [0.0000, 0.4617, 0.7209], [0.5000, 0.6172, 0.9458], [0.0000, 0.1167, 0.5403], [0.0000, 0.1887, 0.8749], [0.5000, 0.3828, 0.4458], [0.0000, 0.8113, 0.3749], [0.5000, 0.0572, 0.2765], [0.5000, 0.7101, 0.1792], [0.5000, 0.2899, 0.6792], [0.0000, 0.0379, 0.7331], [0.0000, 0.9621, 0.2331]],
  "vol_a3_per_atom": 22.6,
  "sg": "Pmc2_1 (26)"
}



Relative energies, in eV/atom, with the most stable structure set to zero: 1 0.000; 2 0.015.



1:
{
  "formula": "La2BiF",
  "functional": "PBEsol",
  "state": "optimized geometry",
  "cell": [[5.2975, 0.0000, 0.0000], [2.6487, 4.5877, 0.0000], [2.6487, 1.5292, 4.3254]],
  "species": ["Bi", "La", "La", "F"],
  "frac_coords": [[0.5000, 0.5000, 0.5000], [0.2500, 0.2500, 0.2500], [0.7500, 0.7500, 0.7500], [0.0000, 0.0000, 0.0000]],
  "vol_a3_per_atom": 26.3,
  "sg": "Fm-3m (225)"
}



2:
{
  "formula": "La2BiF",
  "functional": "PBEsol",
  "state": "optimized geometry",
  "cell": [[6.5871, -0.0079, 0.0000], [-2.3366, 6.1587, 0.0000], [-2.1252, -3.0754, 5.4235]],
  "species": ["La", "La", "La", "La", "F", "F", "Bi", "Bi"],
  "frac_coords": [[0.1250, 0.5402, 0.9152], [0.7902, 0.8750, 0.4152], [0.6250, 0.2098, 0.0848], [0.4598, 0.3750, 0.5848], [0.5000, 0.5000, 0.0000], [0.7500, 0.2500, 0.5000], [0.0000, 0.0000, 0.0000], [0.2500, 0.7500, 0.5000]],
  "vol_a3_per_atom": 27.5,
  "sg": "I-42d (122)"
}



Relative energies, in eV/atom, with the most stable structure set to zero: 1 0.288; 2 0.000.



1:
{
  "formula": "MgBi2F",
  "functional": "PBEsol",
  "state": "optimized geometry",
  "cell": [[4.9661, 0.0000, 0.0000], [2.4831, 4.3008, 0.0000], [2.4831, 1.4336, 4.0548]],
  "species": ["Bi", "Bi", "F", "Mg"],
  "frac_coords": [[0.2500, 0.2500, 0.2500], [0.7500, 0.7500, 0.7500], [0.0000, 0.0000, 0.0000], [0.5000, 0.5000, 0.5000]],
  "vol_a3_per_atom": 21.7,
  "sg": "Fm-3m (225)"
}



2:
{
  "formula": "MgBi2F",
  "functional": "PBEsol",
  "state": "optimized geometry",
  "cell": [[4.3809, 0.0000, 0.0000], [0.0000, 4.3809, 0.0000], [-2.1905, -2.1905, 10.4913]],
  "species": ["Mg", "Mg", "Bi", "Bi", "Bi", "Bi", "F", "F"],
  "frac_coords": [[0.0000, 0.0000, 0.0000], [0.2500, 0.7500, 0.5000], [0.1250, 0.1228, 0.7500], [0.8772, 0.3750, 0.2500], [0.6250, 0.6272, 0.7500], [0.3728, 0.8750, 0.2500], [0.7500, 0.2500, 0.5000], [0.5000, 0.5000, 0.0000]],
  "vol_a3_per_atom": 25.2,
  "sg": "I-42d (122)"
}



Relative energies, in eV/atom, with the most stable structure set to zero: 1 0.000; 2 0.085.



1:
{
  "formula": "Bi4O5F2",
  "functional": "PBEsol",
  "state": "optimized geometry",
  "cell": [[5.4058, 0.0000, 0.0000], [0.0000, 5.6105, 0.0614], [0.0000, -0.2995, 13.7701]],
  "species": ["O", "O", "O", "O", "O", "O", "O", "O", "O", "O", "Bi", "Bi", "Bi", "Bi", "Bi", "Bi", "Bi", "Bi", "F", "F", "F", "F"],
  "frac_coords": [[0.3194, 0.1265, 0.2044], [0.1806, 0.1265, 0.7044], [0.6806, 0.8735, 0.7956], [0.0079, 0.0735, 0.9121], [0.0000, 0.0000, 0.5000], [0.9921, 0.9265, 0.0879], [0.5000, 0.0000, 0.0000], [0.8194, 0.8735, 0.2956], [0.4921, 0.0735, 0.4121], [0.5079, 0.9265, 0.5879], [0.2149, 0.2193, 0.0414], [0.8666, 0.2343, 0.7830], [0.7149, 0.7807, 0.4586], [0.1334, 0.7657, 0.2170], [0.7851, 0.7807, 0.9586], [0.3666, 0.7657, 0.7170], [0.6334, 0.2343, 0.2830], [0.2851, 0.2193, 0.5414], [0.8774, 0.4724, 0.1415], [0.6226, 0.4724, 0.6415], [0.3774, 0.5276, 0.3585], [0.1226, 0.5276, 0.8585]],
  "vol_a3_per_atom": 19.0,
  "sg": "P2_1/c (14)"
}



2:
{
  "formula": "Bi4O5F2",
  "functional": "PBEsol",
  "state": "optimized geometry",
  "cell": [[-2.3138, 4.2325, 2.2373], [-8.2056, -0.2846, -7.9478], [-5.8436, -7.7068, 8.5363]],
  "species": ["F", "F", "F", "F", "F", "F", "F", "F", "O", "O", "O", "O", "O", "O", "O", "O", "O", "O", "O", "O", "O", "O", "O", "O", "O", "O", "O", "O", "Bi", "Bi", "Bi", "Bi", "Bi", "Bi", "Bi", "Bi", "Bi", "Bi", "Bi", "Bi", "Bi", "Bi", "Bi", "Bi"],
  "frac_coords": [[0.6607, 0.6354, 0.4356], [0.7905, 0.0322, 0.7522], [0.2905, 0.9678, 0.2478], [0.1607, 0.3646, 0.5644], [0.8209, 0.1168, 0.3570], [0.6874, 0.7884, 0.0777], [0.1874, 0.2116, 0.9223], [0.3209, 0.8832, 0.6430], [0.4833, 0.2660, 0.7305], [0.4861, 0.4281, 0.9023], [0.6116, 0.3554, 0.3064], [0.4865, 0.7317, 0.2670], [0.6679, 0.3216, 0.0684], [0.4815, 0.5693, 0.0940], [0.9815, 0.4307, 0.9060], [0.9833, 0.7340, 0.2695], [0.6062, 0.7152, 0.7925], [0.1062, 0.2848, 0.2075], [0.1679, 0.6784, 0.9316], [0.9861, 0.5719, 0.0977], [0.9865, 0.2683, 0.7330], [0.1116, 0.6446, 0.6936], [0.5015, 0.9034, 0.4274], [0.4951, 0.0932, 0.5742], [0.6676, 0.4664, 0.6778], [0.9951, 0.9068, 0.4258], [0.1676, 0.5336, 0.3222], [0.0015, 0.0966, 0.5726], [0.2472, 0.7280, 0.1120], [0.7577, 0.5968, 0.9552], [0.7552, 0.5672, 0.2446], [0.7347, 0.2179, 0.1921], [0.7478, 0.2747, 0.5980], [0.2577, 0.4032, 0.0448], [0.7472, 0.2720, 0.8880], [0.7281, 0.6368, 0.6415], [0.2335, 0.1078, 0.7179], [0.7335, 0.8922, 0.2821], [0.2369, 0.0577, 0.4240], [0.2347, 0.7821, 0.8079], [0.2478, 0.7253, 0.4020], [0.2552, 0.4328, 0.7554], [0.7369, 0.9423, 0.5760], [0.2281, 0.3632, 0.3585]],
  "vol_a3_per_atom": 17.7,
  "sg": "P2_1 (4)"
}



Relative energies, in eV/atom, with the most stable structure set to zero: 1 0.077; 2 0.000.



1:
{
  "formula": "BiWOF2",
  "functional": "PBEsol",
  "state": "optimized geometry",
  "cell": [[4.4562, 0.0000, 0.0000], [0.0000, 4.4562, 0.0000], [0.0000, 0.0000, 4.6325]],
  "species": ["Bi", "F", "F", "W", "O"],
  "frac_coords": [[0.0000, 0.0000, 0.0000], [0.5000, 0.0000, 0.0000], [0.0000, 0.5000, 0.0000], [0.5000, 0.5000, 0.5000], [0.0000, 0.0000, 0.5000]],
  "vol_a3_per_atom": 18.4,
  "sg": "P4/mmm (123)"
}



2:
{
  "formula": "BiWOF2",
  "functional": "PBEsol",
  "state": "optimized geometry",
  "cell": [[4.4713, 0.0000, 0.0000], [0.0000, 4.1095, 0.0000], [0.0000, 0.0000, 4.1095]],
  "species": ["F", "F", "Bi", "O", "W"],
  "frac_coords": [[0.0000, 0.0000, 0.5000], [0.0000, 0.5000, 0.0000], [0.5000, 0.0000, 0.0000], [0.0000, 0.0000, 0.0000], [0.5000, 0.5000, 0.5000]],
  "vol_a3_per_atom": 15.1,
  "sg": "P4/mmm (123)"
}



Relative energies, in eV/atom, with the most stable structure set to zero: 1 0.000; 2 0.558.